This record from Alexandria via LeMat-Bulk describes crystalline Nd2SmY6Sc3 at its relaxed geometry. The functional is PBE. Values from VASP.

The structure in Quantum ESPRESSO input format:
```
&SYSTEM
  ibrav = 0, nat = 12, ntyp = 4
/
ATOMIC_SPECIES
Nd 144.24 Nd.upf
Sm 150.36 Sm.upf
Y 88.91 Y.upf
Sc 44.96 Sc.upf
ATOMIC_POSITIONS crystal
Nd 0.167 0.833 0.000
Nd 0.833 0.167 0.000
Sm 0.500 0.500 0.000
Y 0.079 0.413 0.738
Y 0.254 0.254 0.262
Y 0.413 0.079 0.738
Y 0.587 0.921 0.262
Y 0.746 0.746 0.738
Y 0.921 0.587 0.262
Sc 0.000 0.000 0.500
Sc 0.333 0.667 0.500
Sc 0.667 0.333 0.500
CELL_PARAMETERS angstrom
3.061 -5.302 0.000
3.061 5.302 0.000
-2.041 0.000 11.403
```

Properties
DOS at the Fermi energy in states/eV/atom: 1.57
Total magnetic moment in μB per atom: 0.00
Formation enthalpy at 0 K in eV/atom: 0.052
Crystal system: monoclinic